# 1
Entry from the Alexandria database: an optimized crystal structure of NaPmSnAu (PBE).

Cell: 5.2153 5.2153 5.2153 Å, 60.00 60.00 60.00°
Last column: nearest neighbours and their distance in Å.
Fractional coordinates of all 4 atoms:
Na 0.5000 0.5000 0.5000  4 Au 3.19, 4 Sn 3.19
Au 0.7500 0.7500 0.7500  4 Na 3.19, 4 Pm 3.19
Sn 0.2500 0.2500 0.2500  4 Na 3.19, 4 Pm 3.19
Pm 0.0000 0.0000 0.0000  4 Sn 3.19, 4 Au 3.19

Its total energy is -3.846 eV/atom. Its symmetry is F-43m (216). As for the crystal system: cubic.

***

# 2
Entry from the Alexandria database: an optimized crystal structure of NaPmTlAu (PBE).

Cell: 5.2179 5.2179 5.2179 Å, 60.00 60.00 60.00°
Last column: nearest neighbours and their distance in Å.
Fractional coordinates of all 4 atoms:
Na 0.2500 0.2500 0.2500  4 Au 3.20, 4 Tl 3.20
Tl 0.5000 0.5000 0.5000  4 Na 3.20, 4 Pm 3.20
Au 0.0000 0.0000 0.0000  4 Pm 3.20, 4 Na 3.20
Pm 0.7500 0.7500 0.7500  4 Tl 3.20, 4 Au 3.20

Its total energy is -3.313 eV/atom. Its symmetry is F-43m (216). As for the crystal system: cubic.

***

# 3
Entry from the Alexandria database: an optimized crystal structure of NaPmZnAu (PBE).

Cell: 5.0612 5.0612 5.0612 Å, 60.00 60.00 60.00°
Last column: nearest neighbours and their distance in Å.
Fractional coordinates of all 4 atoms:
Na 0.2500 0.2500 0.2500  4 Zn 3.10, 4 Au 3.10
Zn 0.0000 0.0000 0.0000  4 Na 3.10, 4 Pm 3.10
Au 0.5000 0.5000 0.5000  4 Na 3.10, 4 Pm 3.10
Pm 0.7500 0.7500 0.7500  4 Zn 3.10, 4 Au 3.10

Its total energy is -3.002 eV/atom. Its symmetry is F-43m (216). As for the crystal system: cubic.

***

# 4
Entry from the Alexandria database: an optimized crystal structure of Na2PrAu3 (PBE).

Cell: 5.1201 5.1201 12.4748 Å, 90.00 90.00 120.00°
Last column: nearest neighbours and their distance in Å.
Fractional coordinates of all 12 atoms:
Na 0.0000 0.0000 0.5000  8 Au 3.10-3.17
Na 0.3333 0.6667 0.1528  8 Au 3.04-3.20
Na 0.6667 0.3333 0.8472  8 Au 3.04-3.20
Na 0.0000 0.0000 0.0000  8 Au 3.14-3.17, 6 Na 3.52
Pr 0.3333 0.6667 0.6668  8 Au 3.02-3.21
Pr 0.6667 0.3333 0.3332  8 Au 3.02-3.21
Au 0.3333 0.6667 0.4093  4 Pr 3.10-3.21, 4 Na 3.17-3.20
Au 0.6667 0.3333 0.0909  1 Pr 3.02, 7 Na 3.04-3.17
Au 0.0000 0.0000 0.7481  5 Na 3.10-3.20, 3 Pr 3.13
Au 0.0000 0.0000 0.2519  5 Na 3.10-3.20, 3 Pr 3.13
Au 0.3333 0.6667 0.9091  1 Pr 3.02, 7 Na 3.04-3.17
Au 0.6667 0.3333 0.5907  4 Pr 3.10-3.21, 4 Na 3.17-3.20

Its total energy is -3.368 eV/atom. Its symmetry is P-3m1 (164). As for the crystal system: trigonal.

***

# 5
Entry from the Alexandria database: an optimized crystal structure of NaPrAu2 (PBE).

Cell: 4.2514 4.2514 7.4426 Å, 73.40 73.40 60.00°
Last column: nearest neighbours and their distance in Å.
Fractional coordinates of all 4 atoms:
Na 0.4965 0.4965 0.5104  6 Au 2.92-3.02
Pr 0.6692 0.6692 0.9925  6 Au 3.04-3.09
Au 0.0879 0.0879 0.7362  3 Na 2.92, 3 Pr 3.04
Au 0.2464 0.2464 0.2608  3 Na 3.02, 3 Pr 3.09, 1 Au 3.34

Its total energy is -3.610 eV/atom. The offset from the most stable computed form comes out at 138 meV/atom. Its symmetry is R3m (160). As for the crystal system: trigonal.

***

# 6
Entry from the Alexandria database: an optimized crystal structure of NaPr4Au5 (PBE).

Cell: 3.7133 3.7133 18.5565 Å, 90.00 90.00 90.00°
Last column: nearest neighbours and their distance in Å.
Fractional coordinates of all 10 atoms:
Na 0.0000 0.0000 0.0000  8 Au 3.20, 2 Pr 3.55
Pr 0.0000 0.0000 0.1913  8 Au 3.14-3.27
Pr 0.0000 0.0000 0.3981  8 Au 3.24
Pr 0.0000 0.0000 0.6019  8 Au 3.24
Pr 0.0000 0.0000 0.8087  8 Au 3.14-3.27
Au 0.5000 0.5000 0.0984  4 Pr 3.14, 4 Na 3.20
Au 0.5000 0.5000 0.2961  8 Pr 3.24-3.27
Au 0.5000 0.5000 0.5000  8 Pr 3.24
Au 0.5000 0.5000 0.7039  8 Pr 3.24-3.27
Au 0.5000 0.5000 0.9016  4 Pr 3.14, 4 Na 3.20

Its total energy is -4.339 eV/atom. Its symmetry is P4/mmm (123). As for the crystal system: tetragonal.

***

no.,energy of formation (eV/atom)
1,-0.509
2,-0.385
3,-0.347
4,-0.494
5,-0.447
6,-0.656